(1)
Compound: DyTlCuSe3
Source: the Alexandria database
Functional: PBE
Structure: optimized geometry

Unit cell a=4.8434 b=8.1851 c=8.5579 alpha=100.87 beta=90.00 gamma=107.21
Positions (direct):
Dy  0.6441  0.2881  0.5541
Dy  0.3559  0.7119  0.4459
Tl  0.3492  0.6984  0.9480
Tl  0.6508  0.3016  0.0520
Cu  0.0127  0.0253  0.3010
Cu  0.9873  0.9747  0.6990
Se  0.8564  0.7128  0.2427
Se  0.8294  0.6589  0.6589
Se  0.5027  0.0055  0.2820
Se  0.1706  0.3411  0.3411
Se  0.4973  0.9945  0.7180
Se  0.1436  0.2872  0.7573

Calculated values
- Space group: C2/m, No. 12
- Total DFT energy (no corrections): -4.446 eV/atom
- Formation energy from raw total energies: -0.86 eV/atom
- N(E_F): 1.0 states/eV per cell

***

(2)
Compound: Dy3Tl3CuSe8
Source: the Alexandria database
Functional: PBE
Structure: optimized geometry

Unit cell a=8.1813 b=8.1805 c=9.0624 alpha=116.83 beta=90.00 gamma=120.00
Positions (direct):
Dy  0.5000  0.0000  0.5000
Dy  0.5000  0.5000  0.5000
Dy  0.0000  0.5000  0.5000
Tl  0.0000  0.0000  0.0000
Tl  0.0000  0.5000  0.0000
Tl  0.5000  0.5000  0.0000
Cu  0.0000  0.0000  0.5000
Se  0.2636  0.5271  0.2911
Se  0.7364  0.4729  0.7089
Se  0.7826  0.5652  0.3089
Se  0.2174  0.4348  0.6911
Se  0.7811  0.0268  0.3069
Se  0.2189  0.9732  0.6931
Se  0.2457  0.0268  0.3069
Se  0.7543  0.9732  0.6931

Calculated values
- Space group: C2/m, No. 12
- Total DFT energy (no corrections): -4.524 eV/atom
- Formation energy from raw total energies: -1.00 eV/atom
- N(E_F): 9.8 states/eV per cell

***

(3)
Compound: DyTlCuSe2
Source: the Alexandria database
Functional: PBE
Structure: optimized geometry

Unit cell a=5.8329 b=6.6103 c=7.7172 alpha=104.46 beta=90.00 gamma=90.00
Positions (direct):
Dy  0.5293  0.0000  0.2500
Dy  0.4707  0.0000  0.7500
Tl  0.2013  0.5000  0.7500
Tl  0.7987  0.5000  0.2500
Cu  0.0000  0.0000  0.0000
Cu  0.0000  0.0000  0.5000
Se  0.7133  0.7510  0.9303
Se  0.7133  0.2490  0.5697
Se  0.2867  0.7510  0.4303
Se  0.2867  0.2490  0.0697

Calculated values
- Space group: P2/c, No. 13
- Total DFT energy (no corrections): -4.327 eV/atom
- Formation energy from raw total energies: -0.72 eV/atom
- N(E_F): 3.9 states/eV per cell

***

no.,total magnetization (Bohr magnetons per cell)
1,0.000
2,0.000
3,0.000